Record 1
Below is a geometry-optimized Er3Sc7Rh4 structure, with properties calculated at the PBE-GGA level.

The space group is C2/m (No. 12) and the conventional cell measures 17.588, 3.821 and 10.862 Å, with angles of 90.00, 122.15 and 90.00 degrees. Symmetry generates all atoms from Er at (0.000, 0.000, 0.000), Er at (0.185, 0.500, 0.689), Sc at (0.000, 0.000, 0.500), Sc at (0.007, 0.500, 0.278), Sc at (0.169, 0.000, 0.412), Sc at (0.181, 0.500, 0.022), Rh at (0.121, 0.000, 0.819) and Rh at (0.144, 0.500, 0.227).

For the theoretical density, the calculation gives 6.60 g/cm³. Its crystal system is monoclinic. The energy relative to the elements comes out at -545 meV/atom.

***

Record 2
Below is a geometry-optimized Pm3NdTh2S6 structure, with properties calculated at the PBE-GGA level.

The space group is C2/m (No. 12) and the conventional cell measures 6.991, 12.068 and 7.031 Å, with angles of 90.00, 109.30 and 90.00 degrees. Symmetry generates all atoms from Pm at (0.000, 0.000, 0.000), Pm at (0.000, 0.336, 0.000), Nd at (0.000, 0.500, 0.500), Th at (0.000, 0.167, 0.500), S at (0.248, 0.000, 0.750) and S at (0.248, 0.168, 0.246).

The final energy is -6.842 eV per atom. For the theoretical density, the calculation gives 7.33 g/cm³. Its crystal system is monoclinic.

***

Record 3
Below is a geometry-optimized LaPmDyTh structure, with properties calculated at the PBE-GGA level.

The space group is P4mm (No. 99) and the conventional cell measures 3.617, 3.617 and 10.343 Å, with angles of 90.00, 90.00 and 90.00 degrees. Symmetry generates all atoms from La at (0.000, 0.000, 0.000), Pm at (0.500, 0.500, 0.731), Dy at (0.500, 0.500, 0.260) and Th at (0.000, 0.000, 0.493).

For the theoretical density, the calculation gives 8.33 g/cm³. Its crystal system is tetragonal. The energy relative to the elements comes out at 26 meV/atom.

***

Record 4
Below is a geometry-optimized CoTc2Pt structure, with properties calculated at the PBE-GGA level.

The space group is Fm-3m (No. 225) and the conventional cell measures 6.120, 6.120 and 6.120 Å, with angles of 90.00, 90.00 and 90.00 degrees. Symmetry generates all atoms from Co at (0.000, 0.000, 0.000), Tc at (0.250, 0.250, 0.250) and Pt at (0.000, 0.000, 0.500).

For the theoretical density, the calculation gives 13.04 g/cm³. Its crystal system is cubic. The energy relative to the elements comes out at 365 meV/atom.

***

Record 5
Below is a geometry-optimized ZrFe3Ge2 structure, with properties calculated at the PBE-GGA level.

The space group is C2/m (No. 12) and the conventional cell measures 15.734, 3.902 and 8.966 Å, with angles of 90.00, 108.62 and 90.00 degrees. Symmetry generates all atoms from Zr at (0.000, 0.000, 0.000), Zr at (0.156, 0.000, 0.731), Fe at (0.000, 0.500, 0.500), Fe at (0.042, 0.000, 0.369), Fe at (0.125, 0.500, 0.212), Fe at (0.181, 0.500, 0.978), Fe at (0.199, 0.000, 0.391), Ge at (0.037, 0.500, 0.794), Ge at (0.146, 0.500, 0.493) and Ge at (0.198, 0.000, 0.124).

For the theoretical density, the calculation gives 7.72 g/cm³. Its crystal system is monoclinic. The energy relative to the elements comes out at -311 meV/atom.

***

Record 6
Below is a geometry-optimized Pm3Pr4Tm2 structure, with properties calculated at the PBE-GGA level.

The space group is P3m1 (No. 156) and the conventional cell measures 3.6393, 3.6393 and 27.1822 Å, with angles of 90.00, 90.00 and 120.00 degrees. Symmetry generates all atoms from Pm at (0.0000, 0.0000, 0.0000), Pm at (0.0000, 0.0000, 0.3371), Pm at (0.6667, 0.3333, 0.6751), Pr at (0.0000, 0.0000, 0.5638), Pr at (0.0000, 0.0000, 0.7880), Pr at (0.6667, 0.3333, 0.2286), Pr at (0.6667, 0.3333, 0.4502), Tm at (0.6667, 0.3333, 0.1029) and Tm at (0.6667, 0.3333, 0.8938).

For the theoretical density, the calculation gives 7.12 g/cm³. Its crystal system is trigonal. The energy relative to the elements comes out at 72 meV/atom.

***

Record 7
Below is a geometry-optimized LiCa3Pa2P6 structure, with properties calculated at the PBE-GGA level.

The space group is C2/m (No. 12) and the conventional cell measures 7.025, 12.192 and 7.023 Å, with angles of 90.00, 109.33 and 90.00 degrees. Symmetry generates all atoms from Li at (0.000, 0.000, 0.000), Ca at (0.000, 0.161, 0.500), Ca at (0.000, 0.500, 0.500), Pa at (0.000, 0.333, 0.000), P at (0.229, 0.500, 0.229) and P at (0.249, 0.326, 0.770).

For the theoretical density, the calculation gives 4.54 g/cm³. Its crystal system is monoclinic. The energy relative to the elements comes out at -1040 meV/atom.

***

Record 8
Below is a geometry-optimized CaY2Rh structure, with properties calculated at the PBE-GGA level.

The space group is R-3m (No. 166, hexagonal axes) and the conventional cell measures 3.9550, 3.9550 and 28.7764 Å, with angles of 90.00, 90.00 and 120.00 degrees. Symmetry generates all atoms from Ca at (0.0000, 0.0000, 0.0000), Y at (0.0000, 0.0000, 0.2203) and Rh at (0.0000, 0.0000, 0.5000).

For the theoretical density, the calculation gives 4.10 g/cm³. Its crystal system is trigonal. The energy relative to the elements comes out at -354 meV/atom.

***

Number 4 is which compound?
CoTc2Pt

***

What is the theoretical density in the eighth record?
4.10 g/cm³